# 1
Density functional theory data (PBE) for a geometry-optimized AcNbOs structure.

Formation energy from the elements ... 1.648 eV per atom
Symmetry ... F-43m, No. 216

Cell: 4.677 4.677 4.677 Å, 60.00 60.00 60.00°
Sites, in units of the cell vectors:
Ac 0.000 0.000 0.000
Nb 0.250 0.250 0.250
Os 0.750 0.750 0.750

# 2
Density functional theory data (PBE) for a geometry-optimized CdAgIr2 structure.

Formation energy from the elements ... 0.430 eV per atom
Symmetry ... F-43m, No. 216

Cell: 4.546 4.546 4.546 Å, 60.00 60.00 60.00°
Last column: magnetic moment on the atom in μB.
Sites, in units of the cell vectors:
Ag 0.750 0.750 0.750  0.00
Cd 0.000 0.000 0.000  0.00
Ir 0.250 0.250 0.250  0.59
Ir 0.500 0.500 0.500  0.68

# 3
Density functional theory data (PBE) for a geometry-optimized CsMgAu structure.

VASP energy ... -1.721 eV/atom
Symmetry ... F-43m, No. 216

Cell: 5.507 5.507 5.507 Å, 60.00 60.00 60.00°
Sites, in units of the cell vectors:
Au 0.250 0.250 0.250
Cs 0.750 0.750 0.750
Mg 0.000 0.000 0.000

# 4
Density functional theory data (PBE) for a geometry-optimized K4As2PdS8 structure.

VASP energy ... -4.166 eV/atom
Symmetry ... P-1, No. 2

Cell: 6.482 7.058 9.289 Å, 87.36 83.63 84.33°
Sites, in units of the cell vectors:
As 0.826 0.729 0.264
As 0.174 0.271 0.736
K 0.286 0.342 0.135
K 0.747 0.217 0.476
K 0.253 0.783 0.524
K 0.714 0.658 0.865
Pd 0.000 0.000 0.000
S 0.675 0.968 0.136
S 0.774 0.457 0.185
S 0.146 0.809 0.187
S 0.757 0.748 0.497
S 0.243 0.252 0.503
S 0.854 0.191 0.813
S 0.226 0.543 0.815
S 0.325 0.032 0.864

# 5
Density functional theory data (PBE) for a geometry-optimized PmZnB structure.

VASP energy ... -3.802 eV/atom
Symmetry ... F-43m, No. 216

Cell: 4.320 4.320 4.320 Å, 60.00 60.00 60.00°
Sites, in units of the cell vectors:
B 0.250 0.250 0.250
Pm 0.750 0.750 0.750
Zn 0.000 0.000 0.000

# 6
Density functional theory data (PBE) for a geometry-optimized Gd3S3N structure.

VASP energy ... -6.933 eV/atom
Symmetry ... Pnma, No. 62

Cell: 12.030 3.884 12.934 Å, 90.00 90.00 90.00°
Sites, in units of the cell vectors:
Gd 0.428 0.750 0.131
Gd 0.785 0.750 0.138
Gd 0.045 0.250 0.145
Gd 0.545 0.250 0.355
Gd 0.285 0.750 0.362
Gd 0.928 0.750 0.369
Gd 0.072 0.250 0.631
Gd 0.715 0.250 0.638
Gd 0.455 0.750 0.645
Gd 0.955 0.750 0.855
Gd 0.215 0.250 0.862
Gd 0.572 0.250 0.869
N 0.961 0.750 0.202
N 0.461 0.750 0.298
N 0.539 0.250 0.702
N 0.039 0.250 0.798
S 0.865 0.250 0.007
S 0.589 0.250 0.102
S 0.273 0.250 0.194
S 0.773 0.250 0.306
S 0.089 0.250 0.398
S 0.365 0.250 0.493
S 0.635 0.750 0.507
S 0.911 0.750 0.602
S 0.227 0.750 0.694
S 0.727 0.750 0.806
S 0.411 0.750 0.898
S 0.135 0.750 0.993

# 7
Density functional theory data (PBE) for a geometry-optimized ZrOs structure.

Formation energy from the elements ... -0.074 eV per atom
Symmetry ... Pmc2_1, No. 26

Cell: 5.254 9.113 4.579 Å, 90.00 90.00 90.00°
Sites, in units of the cell vectors:
Os 0.511 0.176 0.000
Os 0.010 0.657 0.000
Os 0.828 0.193 0.500
Os 0.360 0.357 0.500
Os 0.860 0.476 0.500
Os 0.329 0.641 0.500
Zr 0.908 0.008 0.000
Zr 0.074 0.324 0.000
Zr 0.574 0.509 0.000
Zr 0.408 0.825 0.000
Zr 0.320 0.049 0.500
Zr 0.820 0.784 0.500

# 8
Density functional theory data (PBE) for a geometry-optimized K2AlPdBr6 structure.

VASP energy ... -3.167 eV/atom
Symmetry ... Fm-3m, No. 225

Cell: 7.450 7.450 7.450 Å, 60.00 60.00 60.00°
Sites, in units of the cell vectors:
Al 0.000 0.000 0.000
Br 0.758 0.242 0.242
Br 0.242 0.758 0.242
Br 0.758 0.758 0.242
Br 0.242 0.242 0.758
Br 0.758 0.242 0.758
Br 0.242 0.758 0.758
K 0.250 0.250 0.250
K 0.750 0.750 0.750
Pd 0.500 0.500 0.500

# 9
Density functional theory data (PBE) for a geometry-optimized BaHfZr2 structure.

VASP energy ... -6.546 eV/atom
Symmetry ... F-43m, No. 216

Cell: 5.307 5.307 5.307 Å, 60.00 60.00 60.00°
Last column: magnetic moment on the atom in μB.
Sites, in units of the cell vectors:
Ba 0.750 0.750 0.750  0.00
Hf 0.500 0.500 0.500  -0.08
Zr 0.000 0.000 0.000  0.10
Zr 0.250 0.250 0.250  0.00

# 10
Density functional theory data (PBE) for a geometry-optimized La2NdCu2Si4Au2 structure.

VASP energy ... -5.223 eV/atom
Symmetry ... Immm, No. 71

Cell: 12.704 12.704 12.704 Å, 160.95 160.49 27.40°
Sites, in units of the cell vectors:
Au 0.250 0.250 0.000
Au 0.750 0.750 0.000
Cu 0.593 0.093 0.500
Cu 0.407 0.907 0.500
La 0.855 0.355 0.500
La 0.145 0.645 0.500
Nd 0.000 0.000 0.000
Si 0.451 0.451 0.000
Si 0.549 0.549 0.000
Si 0.688 0.188 0.500
Si 0.312 0.812 0.500

# 11
Density functional theory data (PBE) for a geometry-optimized GdScIr structure.

Formation energy from the elements ... 0.237 eV per atom
Symmetry ... F-43m, No. 216

Cell: 4.617 4.617 4.617 Å, 60.00 60.00 60.00°
Sites, in units of the cell vectors:
Gd 0.000 0.000 0.000
Ir 0.250 0.250 0.250
Sc 0.750 0.750 0.750

# 12
Density functional theory data (PBE) for a geometry-optimized ErPS structure.

VASP energy ... -6.256 eV/atom
Symmetry ... Pnma, No. 62

Cell: 5.300 5.272 16.593 Å, 90.00 90.00 90.00°
Sites, in units of the cell vectors:
Er 0.016 0.750 0.138
Er 0.514 0.250 0.146
Er 0.014 0.250 0.354
Er 0.516 0.750 0.362
Er 0.484 0.250 0.638
Er 0.986 0.750 0.646
Er 0.486 0.750 0.854
Er 0.984 0.250 0.862
P 0.289 0.034 0.003
P 0.289 0.466 0.003
P 0.789 0.034 0.497
P 0.789 0.466 0.497
P 0.211 0.534 0.503
P 0.211 0.966 0.503
P 0.711 0.534 0.997
P 0.711 0.966 0.997
S 0.011 0.250 0.185
S 0.515 0.750 0.189
S 0.015 0.750 0.311
S 0.511 0.250 0.315
S 0.489 0.750 0.685
S 0.985 0.250 0.689
S 0.485 0.250 0.811
S 0.989 0.750 0.815